The following is a PBE calculation of a geometry-optimized TaInP2 structure, from the Alexandria database.

E = -6.07 eV per atom
ΔH_f (0 K) = 0.29 eV per atom
N(E_F) = 2.8 states/eV per cell

```
TaInP2
1.0
5.6064 0.0004 0.0000
3.0863 4.6804 0.0000
-4.3464 -2.3404 2.6577
In P Ta
1 2 1
direct
0.7500 0.2500 0.5000
0.0000 0.0000 0.0000
0.2500 0.7500 0.5000
0.5000 0.5000 0.0000
```